(1)
A relaxed structure of PrNpNb, computed with PBE.

a b c (Å): 6.878 6.878 6.878
angles (deg): 90.00 90.00 90.00
Element x y z (fractional)
Pr: 0.000 0.000 0.000
Pr: 0.000 0.500 0.500
Pr: 0.500 0.000 0.500
Pr: 0.500 0.500 0.000
Np: 0.000 0.000 0.500
Np: 0.000 0.500 0.000
Np: 0.500 0.000 0.000
Np: 0.500 0.500 0.500
Nb: 0.250 0.250 0.750
Nb: 0.250 0.750 0.250
Nb: 0.750 0.250 0.250
Nb: 0.750 0.750 0.750

Output
Magnetization   12.23 μB/cell
Calculated total energy   -8.18 eV/atom
Formation energy from the elements   1.037 eV/atom
Energy relative to the lowest polymorph listed for this composition   0.0000 eV per atom

=====

(2)
A relaxed structure of Sc3Cu, computed with PBE.

a b c (Å): 4.724 6.174 5.545
angles (deg): 90.00 90.00 90.00
Element x y z (fractional)
Sc: 0.250 0.007 0.161
Sc: 0.250 0.250 0.625
Sc: 0.250 0.493 0.161
Sc: 0.750 0.507 0.839
Sc: 0.750 0.750 0.375
Sc: 0.750 0.993 0.839
Cu: 0.250 0.750 0.673
Cu: 0.750 0.250 0.327

Output
Magnetization   0.04 μB/cell
Calculated total energy   -5.66 eV/atom
Formation energy from the elements   0.020 eV/atom

=====

(3)
A relaxed structure of TlTcAuO3, computed with PBE.

a b c (Å): 11.133 2.932 10.433
angles (deg): 90.00 90.00 90.00
Element x y z (fractional)
Tl: 0.209 0.250 0.107
Tl: 0.291 0.750 0.607
Tl: 0.709 0.250 0.393
Tl: 0.791 0.750 0.893
Tc: 0.017 0.750 0.395
Tc: 0.483 0.250 0.895
Tc: 0.517 0.750 0.105
Tc: 0.983 0.250 0.605
Au: 0.079 0.750 0.912
Au: 0.421 0.250 0.412
Au: 0.579 0.750 0.588
Au: 0.921 0.250 0.088
O: 0.085 0.750 0.695
O: 0.118 0.750 0.251
O: 0.125 0.250 0.476
O: 0.375 0.750 0.976
O: 0.382 0.250 0.751
O: 0.415 0.250 0.195
O: 0.585 0.750 0.805
O: 0.618 0.750 0.249
O: 0.625 0.250 0.024
O: 0.875 0.750 0.524
O: 0.882 0.250 0.749
O: 0.915 0.250 0.305

Output
Magnetization   0.01 μB/cell
Calculated total energy   -5.83 eV/atom

=====

(4)
A relaxed structure of CdRePd2, computed with PBE.

a b c (Å): 6.365 6.365 6.365
angles (deg): 90.00 90.00 90.00
Element x y z (fractional)
Cd: 0.000 0.000 0.000
Cd: 0.000 0.500 0.500
Cd: 0.500 0.000 0.500
Cd: 0.500 0.500 0.000
Re: 0.250 0.250 0.750
Re: 0.250 0.750 0.250
Re: 0.750 0.250 0.250
Re: 0.750 0.750 0.750
Pd: 0.000 0.000 0.500
Pd: 0.000 0.500 0.000
Pd: 0.250 0.250 0.250
Pd: 0.250 0.750 0.750
Pd: 0.500 0.000 0.000
Pd: 0.500 0.500 0.500
Pd: 0.750 0.250 0.750
Pd: 0.750 0.750 0.250

Output
Magnetization   2.82 μB/cell
Calculated total energy   -5.45 eV/atom
Formation energy from the elements   0.469 eV/atom

=====

(5)
A relaxed structure of K2NbCoH6, computed with PBE.

a b c (Å): 5.370 5.370 5.370
angles (deg): 119.97 119.97 90.06
Element x y z (fractional)
K: 0.250 0.750 0.500
K: 0.750 0.250 0.500
Nb: 0.000 0.000 0.000
Co: 0.500 0.500 0.000
H: 0.277 0.279 0.556
H: 0.278 0.278 0.000
H: 0.279 0.723 0.002
H: 0.721 0.277 0.998
H: 0.722 0.722 0.000
H: 0.723 0.721 0.444

Output
Magnetization   4.00 μB/cell
Calculated total energy   -3.83 eV/atom
Energy relative to the lowest polymorph listed for this composition   0.0888 eV per atom

=====

(6)
A relaxed structure of CsLu2Cu3Te5, computed with PBE.

a b c (Å): 8.069 8.069 18.273
angles (deg): 90.00 90.00 148.72
Element x y z (fractional)
Cs: 0.057 0.943 0.750
Cs: 0.943 0.057 0.250
Lu: 0.192 0.808 0.090
Lu: 0.192 0.808 0.410
Lu: 0.808 0.192 0.590
Lu: 0.808 0.192 0.910
Cu: 0.345 0.655 0.750
Cu: 0.418 0.582 0.028
Cu: 0.418 0.582 0.472
Cu: 0.582 0.418 0.528
Cu: 0.582 0.418 0.972
Cu: 0.655 0.345 0.250
Te: 0.167 0.833 0.572
Te: 0.167 0.833 0.928
Te: 0.242 0.758 0.250
Te: 0.440 0.560 0.615
Te: 0.440 0.560 0.885
Te: 0.560 0.440 0.115
Te: 0.560 0.440 0.385
Te: 0.758 0.242 0.750
Te: 0.833 0.167 0.072
Te: 0.833 0.167 0.428

Output
Magnetization   0.00 μB/cell
Calculated total energy   -4.14 eV/atom

=====

Among the records above, which one has the highest calculated total energy?
K2NbCoH6

=====

Copy entry 5 word for word.
A relaxed structure of K2NbCoH6, computed with PBE.

a b c (Å): 5.370 5.370 5.370
angles (deg): 119.97 119.97 90.06
Element x y z (fractional)
K: 0.250 0.750 0.500
K: 0.750 0.250 0.500
Nb: 0.000 0.000 0.000
Co: 0.500 0.500 0.000
H: 0.277 0.279 0.556
H: 0.278 0.278 0.000
H: 0.279 0.723 0.002
H: 0.721 0.277 0.998
H: 0.722 0.722 0.000
H: 0.723 0.721 0.444

Output
Magnetization   4.00 μB/cell
Calculated total energy   -3.83 eV/atom
Energy relative to the lowest polymorph listed for this composition   0.0888 eV per atom

=====

What is the calculated total energy in the fifth record?
-3.83 eV/atom

=====

The lowest calculated total energy belongs to which entry?
PrNpNb